The following is a DFT calculation (PBE) of a relaxed Pm5TmAl2 crystal.

Computed properties:
VASP energy: -36.162 eV per formula unit
space-group type: Immm, No. 71
total magnetization: 0.0 μB/f.u.
energy relative to the lowest polymorph listed for this composition: 0 meV per atom
calculated volume: 29.42 Å³/atom
formation energy: -0.057 eV/atom

```
data_Pm5TmAl2
_space_group_name_H-M_alt 'P 1'
_space_group_IT_number 1
_cell_length_a 3.615
_cell_length_b 8.304
_cell_length_c 8.304
_cell_angle_alpha 80.06
_cell_angle_beta 77.43
_cell_angle_gamma 77.43
loop_
_space_group_symop_operation_xyz
'x,y,z'
loop_
_atom_site_label
_atom_site_type_symbol
_atom_site_fract_x
_atom_site_fract_y
_atom_site_fract_z
_atom_site_occupancy
Pm1 Pm 0.641 0.140 0.578 1
Pm2 Pm 0.359 0.422 0.860 1
Al1 Al 0.722 0.778 0.778 1
Pm3 Pm 0.359 0.860 0.422 1
Pm4 Pm 0.000 0.500 0.500 1
Pm5 Pm 0.641 0.578 0.140 1
Al2 Al 0.278 0.222 0.222 1
Tm1 Tm 0.000 0.000 0.000 1
```